# 1
ErSb2Rh5 | Alexandria | PBE | optimized geometry; DFT total energy = -6.652 eV per atom; energy relative to the elements, uncorrected = -3.651 eV/f.u.; space group = No. 71
1.0
-3.059 -1.715 1.534
2.022 -6.054 2.037
1.190 -0.514 6.574
Er Sb Rh
1 2 5
Direct
0.000 0.000 0.000
0.755 0.745 0.745
0.245 0.255 0.255
0.000 0.500 0.500
0.631 0.569 0.168
0.369 0.431 0.832
0.369 0.832 0.431
0.631 0.168 0.569

=====

# 2
ErSbRh | Alexandria | PBE | optimized geometry; DFT total energy = -6.235 eV per atom; energy relative to the elements, uncorrected = -2.668 eV/f.u.; space group = No. 187
1.0
3.503 0.000 0.000
0.000 4.579 0.000
0.000 -2.290 3.966
Sb Rh Er
1 1 1
Direct
0.167 0.333 0.667
0.166 0.000 0.000
0.667 0.667 0.333